1.
The following is a PBE calculation of a relaxed DyICl crystal, from Alexandria.

Calculated values
* total DFT energy (no corrections): -4.19 eV per atom
* energy relative to the elements, uncorrected: -1.527 eV/atom

abc: 3.9449 3.9449 7.6078
angles: 90.00 90.00 120.00
Last column: nearest neighbours and their distance in Å.
Space group P3m1 (No. 156)
Symmetry-distinct sites (fractional):
Dy  0.0000  0.0000  0.0000 [1 per cell]  3 Cl 2.78, 3 I 3.05
I  0.3333  0.6667  0.7343 [1 per cell]  3 Dy 3.05
Cl  0.6667  0.3333  0.2099 [1 per cell]  3 Dy 2.78

***

2.
The following is a PBE calculation of a relaxed RbNa3Sb2 crystal, from Alexandria.

Calculated values
* total DFT energy (no corrections): -2.54 eV per atom
* energy relative to the elements, uncorrected: -0.344 eV/atom

abc: 19.0646 5.3671 9.1751
angles: 90.00 118.76 90.00
Last column: nearest neighbours and their distance in Å.
Space group C2/m (No. 12)
Symmetry-distinct sites (fractional):
Rb  0.1399  0.0000  0.1396 [4 per cell]  8 Na 3.63-3.90, 6 Sb 3.82-3.99
Na  0.0001  0.0000  0.3365 [4 per cell]  1 Na 3.00, 2 Sb 3.18
Na  0.1719  0.5000  0.4743 [4 per cell]  3 Sb 3.19-3.24
Na  0.1716  0.5000  0.8689 [4 per cell]  3 Sb 3.19-3.24
Sb  0.0001  0.5000  0.1504 [4 per cell]  1 Sb 2.76
Sb  0.1830  0.0000  0.6830 [4 per cell]  6 Na 3.24-3.41